# 1
A plane-wave DFT calculation with PBE was carried out for an optimized crystal structure of PmPBr.

Cell lengths 7.5162, 4.8118, 11.3583 Å; angles 90.00, 106.95, 90.00 degrees
Space group C2/m (No. 12)
Asymmetric unit:
Pm 0.1703 0.0000 0.3296 (multiplicity 4)
P 0.0645 0.5000 0.4247 (multiplicity 4)
Br 0.2446 0.0000 0.8270 (multiplicity 4)

Computed properties:
Volume ... 98 Å³/f.u.
Formation energy without anion corrections ... -4.20 eV per formula unit
Excess energy over the best structure of this formula in the dataset ... 0.000 eV per atom
Uncorrected energy ... -5.345 eV/atom

# 2
A plane-wave DFT calculation with PBE was carried out for an optimized crystal structure of LiCa2Mg2Zn5.

Cell lengths 10.6642, 10.6642, 3.6481 Å; angles 90.00, 90.00, 90.00 degrees
Space group P4/mbm (No. 127)
Asymmetric unit:
Li 0.0000 0.0000 0.0000 (multiplicity 2)
Ca 0.1724 0.3276 0.0000 (multiplicity 4)
Mg 0.1289 0.6289 0.0000 (multiplicity 4)
Zn 0.0000 0.5000 0.5000 (multiplicity 2)
Zn 0.0539 0.8218 0.5000 (multiplicity 8)

Computed properties:
Volume ... 207 Å³/f.u.
Uncorrected energy ... -1.645 eV/atom
Energy of formation ... -0.97 eV/f.u.

Q: uncorrected energy of number 1 (PmPBr)?
A: -5.345 eV/atom